## Sm2TmHfAs4 (PBE-GGA)

Data for crystalline Sm2TmHfAs4 at its relaxed geometry.

Cell lengths 4.0634, 7.0412, 7.0547 Å; angles 109.27, 90.00, 90.00 degrees
Closest atoms and distances in Å follow each position.
Sites, in units of the cell vectors:
As1 0.0000 0.2477 0.7656  1 Hf 2.77, 2 Tm 2.84, 3 Sm 2.92-2.98
As2 0.0000 0.7523 0.2344  1 Hf 2.77, 2 Tm 2.84, 3 Sm 2.92-2.98
As3 0.5000 0.2365 0.2300  2 Hf 2.78, 1 Tm 2.84, 3 Sm 2.91-2.98
As4 0.5000 0.7635 0.7700  2 Hf 2.78, 1 Tm 2.84, 3 Sm 2.91-2.98
Hf1 0.0000 0.0000 0.0000  6 As 2.77-2.78
Tm1 0.5000 0.5000 0.0000  6 As 2.84
Sm1 0.5000 0.0000 0.5000  6 As 2.91-2.92
Sm2 0.0000 0.5000 0.5000  6 As 2.98

---

## SmTm2HfAs4 (PBE-GGA)

Data for crystalline SmTm2HfAs4 at its relaxed geometry.

Cell lengths 4.0298, 6.9907, 6.9754 Å; angles 109.26, 90.00, 90.00 degrees
Closest atoms and distances in Å follow each position.
Sites, in units of the cell vectors:
As1 0.0000 0.7623 0.2511  1 Hf 2.78, 3 Tm 2.82-2.91, 2 Sm 2.89
As2 0.5000 0.2364 0.2430  2 Hf 2.80, 3 Tm 2.81-2.91, 1 Sm 2.89
As3 0.0000 0.2377 0.7489  1 Hf 2.78, 3 Tm 2.82-2.91, 2 Sm 2.89
As4 0.5000 0.7636 0.7570  2 Hf 2.80, 3 Tm 2.81-2.91, 1 Sm 2.89
Tm1 0.0000 0.5000 0.5000  6 As 2.91
Tm2 0.5000 0.0000 0.5000  6 As 2.81-2.82
Sm1 0.5000 0.5000 0.0000  6 As 2.89
Hf1 0.0000 0.0000 0.0000  6 As 2.78-2.80

---

## Sm2HfUAs4 (PBE-GGA)

Data for crystalline Sm2HfUAs4 at its relaxed geometry.

Cell lengths 4.0593, 7.0409, 7.0938 Å; angles 109.02, 90.00, 90.00 degrees
Closest atoms and distances in Å follow each position.
Sites, in units of the cell vectors:
As1 0.5000 0.7636 0.7708  2 Hf 2.79, 1 U 2.84, 3 Sm 2.92-2.99
As2 0.5000 0.2364 0.2292  2 Hf 2.79, 1 U 2.84, 3 Sm 2.92-2.99
As3 0.0000 0.7534 0.2355  1 Hf 2.77, 2 U 2.85, 3 Sm 2.92-2.98
As4 0.0000 0.2466 0.7645  1 Hf 2.77, 2 U 2.85, 3 Sm 2.92-2.98
Sm1 0.5000 0.0000 0.5000  6 As 2.92
Sm2 0.0000 0.5000 0.5000  6 As 2.98-2.99
U1 0.5000 0.5000 0.0000  6 As 2.84-2.85
Hf1 0.0000 0.0000 0.0000  6 As 2.77-2.79

---

## SmY2HfAs4 (PBE-GGA)

Data for crystalline SmY2HfAs4 at its relaxed geometry.

Cell lengths 4.0600, 7.0404, 7.0314 Å; angles 109.25, 90.00, 90.00 degrees
Closest atoms and distances in Å follow each position.
Sites, in units of the cell vectors:
Sm1 0.5000 0.5000 0.0000  6 As 2.89-2.90
As1 0.0000 0.2390 0.7535  1 Hf 2.79, 3 Y 2.86-2.95, 2 Sm 2.90
As2 0.5000 0.2346 0.2384  2 Hf 2.80, 3 Y 2.85-2.95, 1 Sm 2.89
As3 0.5000 0.7654 0.7616  2 Hf 2.80, 3 Y 2.85-2.95, 1 Sm 2.89
As4 0.0000 0.7610 0.2465  1 Hf 2.79, 3 Y 2.86-2.95, 2 Sm 2.90
Y1 0.0000 0.5000 0.5000  6 As 2.95
Y2 0.5000 0.0000 0.5000  6 As 2.85-2.86
Hf1 0.0000 0.0000 0.0000  6 As 2.79-2.80

---

## Sm2HfZrAs4 (PBE-GGA)

Data for crystalline Sm2HfZrAs4 at its relaxed geometry.

Cell lengths 4.0012, 6.9403, 7.0157 Å; angles 109.30, 90.00, 90.00 degrees
Closest atoms and distances in Å follow each position.
Sites, in units of the cell vectors:
Sm1 0.5000 0.0000 0.5000  6 As 2.94
Sm2 0.0000 0.5000 0.5000  6 As 2.92
Hf1 0.5000 0.5000 0.0000  6 As 2.75
As1 0.5000 0.7548 0.7709  1 Hf 2.75, 2 Zr 2.77, 3 Sm 2.92-2.94
As2 0.5000 0.2452 0.2291  1 Hf 2.75, 2 Zr 2.77, 3 Sm 2.92-2.94
As3 0.0000 0.2599 0.7726  2 Hf 2.75, 1 Zr 2.77, 3 Sm 2.92-2.94
As4 0.0000 0.7401 0.2274  2 Hf 2.75, 1 Zr 2.77, 3 Sm 2.92-2.94
Zr1 0.0000 0.0000 0.0000  6 As 2.77

---

## Hf2SnAs (PBE-GGA)

Data for crystalline Hf2SnAs at its relaxed geometry.

Cell lengths 6.2209, 6.2209, 7.7272 Å; angles 66.26, 66.26, 90.00 degrees
Closest atoms and distances in Å follow each position.
Sites, in units of the cell vectors:
Hf1 0.3750 0.4038 0.7500  2 As 2.61, 2 Sn 2.82
Hf2 0.1538 0.6250 0.2500  2 As 2.61, 2 Sn 2.82
Hf3 0.8750 0.8462 0.7500  2 As 2.61, 2 Sn 2.82
Hf4 0.5962 0.1250 0.2500  2 As 2.61, 2 Sn 2.82
Sn1 0.7500 0.2500 0.5000  4 Hf 2.82
Sn2 0.0000 0.0000 0.0000  4 Hf 2.82
As1 0.5000 0.5000 0.0000  4 Hf 2.61
As2 0.2500 0.7500 0.5000  4 Hf 2.61

---

## Hf8Sn2As3 (PBE-GGA)

Data for crystalline Hf8Sn2As3 at its relaxed geometry.

Cell lengths 6.2039, 7.3199, 7.5433 Å; angles 119.02, 96.67, 90.00 degrees
Closest atoms and distances in Å follow each position.
Sites, in units of the cell vectors:
As1 0.0000 0.8036 0.0000  6 Hf 2.61-2.76, 1 As 2.88
As2 0.5000 0.0000 0.0000  6 Hf 2.71-2.78
As3 0.0000 0.1964 0.0000  6 Hf 2.61-2.76, 1 As 2.88
Hf1 0.3721 0.3957 0.2041  2 As 2.61-2.71, 1 Sn 2.86
Hf2 0.8902 0.5926 0.1851  2 As 2.67, 1 Sn 2.77, 1 Hf 2.95
Hf3 0.6279 0.6043 0.7959  2 As 2.61-2.71, 1 Sn 2.86
Hf4 0.1098 0.4074 0.8149  2 As 2.67, 1 Sn 2.77, 1 Hf 2.95
Hf5 0.3721 0.8084 0.2041  2 As 2.61-2.71, 1 Sn 2.86
Hf6 0.8501 0.1549 0.3098  3 As 2.76-2.78
Hf7 0.6279 0.1916 0.7959  2 As 2.61-2.71, 1 Sn 2.86
Hf8 0.1499 0.8451 0.6902  3 As 2.76-2.78
Sn1 0.3435 0.2427 0.4855  5 Hf 2.77-2.94
Sn2 0.6565 0.7573 0.5145  5 Hf 2.77-2.94

---

## HfSnAs3 (PBE-GGA)

Data for crystalline HfSnAs3 at its relaxed geometry.

Cell lengths 5.1583, 5.1583, 5.1583 Å; angles 90.00, 90.00, 90.00 degrees
Closest atoms and distances in Å follow each position.
Sites, in units of the cell vectors:
Sn1 0.5000 0.5000 0.5000  12 As 3.65
As1 0.0000 0.0000 0.5000  2 Hf 2.58
As2 0.0000 0.5000 0.0000  2 Hf 2.58
As3 0.5000 0.0000 0.0000  2 Hf 2.58
Hf1 0.0000 0.0000 0.0000  6 As 2.58

---

Number 1: energy of formation from the pure elements -1390 meV/atom, total moment 0.00 μB/f.u., N(E_F) 1.4 states/eV/f.u.. Number 2: energy of formation from the pure elements -1366 meV/atom, total moment 0.00 μB/f.u., N(E_F) 1.4 states/eV/f.u.. Number 3: energy of formation from the pure elements -1182 meV/atom, total moment 2.51 μB/f.u., N(E_F) 7.7 states/eV/f.u.. Number 4: energy of formation from the pure elements -1393 meV/atom, total moment 0.00 μB/f.u., N(E_F) 1.4 states/eV/f.u.. Number 5: energy of formation from the pure elements -1282 meV/atom, total moment 0.00 μB/f.u., N(E_F) 4.2 states/eV/f.u.. Number 6: energy of formation from the pure elements 210 meV/atom, total moment 0.00 μB/f.u., N(E_F) 2.4 states/eV/f.u.. Number 7: energy of formation from the pure elements -193 meV/atom, total moment 0.00 μB/f.u., N(E_F) 8.8 states/eV/f.u.. Number 8: energy of formation from the pure elements 132 meV/atom, total moment 0.00 μB/f.u., N(E_F) 3.7 states/eV/f.u..